1.
# Li5Cu5Sn2O12, relaxed, DFT GGA-PBEsol
# E_form (uncorrected) ... -121.6 kJ/mol of atoms
data_Li5Cu5Sn2O12
_space_group_name_H-M_alt 'P 1'
_space_group_IT_number 1
_cell_length_a 5.1265
_cell_length_b 5.1265
_cell_length_c 9.8842
_cell_angle_alpha 93.18
_cell_angle_beta 93.18
_cell_angle_gamma 117.39
loop_
_space_group_symop_operation_xyz
'x,y,z'
loop_
_atom_site_label
_atom_site_type_symbol
_atom_site_fract_x
_atom_site_fract_y
_atom_site_fract_z
_atom_site_occupancy
Li1 Li 0.1949 0.3572 0.2600 1
O1 O 0.4189 0.9142 0.8799 1
O2 O 0.2631 0.0774 0.3768 1
Cu1 Cu 0.5863 0.4137 0.5000 1
O3 O 0.0827 0.2625 0.8781 1
O4 O 0.7632 0.5792 0.8817 1
O5 O 0.9025 0.4175 0.3830 1
O6 O 0.2737 0.4506 0.6269 1
Cu2 Cu 0.0920 0.9080 0.0000 1
O7 O 0.0858 0.5811 0.1201 1
Sn1 Sn 0.7530 0.2470 0.0000 1
Cu3 Cu 0.5050 0.0003 0.2521 1
O8 O 0.9226 0.7369 0.6232 1
O9 O 0.5494 0.7263 0.3731 1
Cu4 Cu 0.9997 0.4950 0.7479 1
Sn2 Sn 0.2486 0.7514 0.5000 1
Li2 Li 0.8402 0.6777 0.2564 1
Li3 Li 0.6428 0.8051 0.7400 1
O10 O 0.4208 0.2368 0.1183 1
O11 O 0.7375 0.9173 0.1219 1
Cu5 Cu 0.4127 0.5873 0.0000 1
Li4 Li 0.8999 0.1001 0.5000 1
O12 O 0.5825 0.0975 0.6170 1
Li5 Li 0.3223 0.1598 0.7436 1



2.
# SrLi2CuO, relaxed, DFT GGA-PBEsol
# E_form (uncorrected) ... 131.4 kJ/mol of atoms
data_SrLi2CuO
_space_group_name_H-M_alt 'P 1'
_space_group_IT_number 1
_cell_length_a 5.2999
_cell_length_b 6.3273
_cell_length_c 6.3273
_cell_angle_alpha 90.00
_cell_angle_beta 90.00
_cell_angle_gamma 90.00
loop_
_space_group_symop_operation_xyz
'x,y,z'
loop_
_atom_site_label
_atom_site_type_symbol
_atom_site_fract_x
_atom_site_fract_y
_atom_site_fract_z
_atom_site_occupancy
Li1 Li 0.0000 0.0000 0.5000 1
Li2 Li 0.0000 0.5000 0.0000 1
O1 O 0.5000 0.5000 0.5000 1
Sr1 Sr 0.0000 0.0000 0.0000 1
Cu1 Cu 0.5000 0.0000 0.0000 1



3.
# LiCuTeO4, relaxed, DFT GGA-PBEsol
# E_form (uncorrected) ... -107.8 kJ/mol of atoms
data_LiCuTeO4
_space_group_name_H-M_alt 'P 1'
_space_group_IT_number 1
_cell_length_a 6.0792
_cell_length_b 6.0792
_cell_length_c 8.5407
_cell_angle_alpha 90.00
_cell_angle_beta 90.00
_cell_angle_gamma 90.00
loop_
_space_group_symop_operation_xyz
'x,y,z'
loop_
_atom_site_label
_atom_site_type_symbol
_atom_site_fract_x
_atom_site_fract_y
_atom_site_fract_z
_atom_site_occupancy
O1 O 0.4842 0.2677 0.2348 1
Cu1 Cu 0.7536 0.7536 0.1250 1
O2 O 0.2677 0.4842 0.0152 1
Te1 Te 0.2256 0.5000 0.2500 1
Te2 Te 0.5000 0.2256 0.0000 1
Cu2 Cu 0.2464 0.2464 0.6250 1
Li1 Li 0.0000 0.7904 0.5000 1
O3 O 0.0215 0.7364 0.2518 1
O4 O 0.0215 0.2636 0.2482 1
O5 O 0.4842 0.7323 0.2652 1
Li2 Li 0.0000 0.2096 0.0000 1
Te3 Te 0.5000 0.7744 0.5000 1
O6 O 0.7323 0.4842 0.9848 1
O7 O 0.2636 0.9785 0.4982 1
O8 O 0.5158 0.7323 0.7348 1
Li3 Li 0.7904 0.0000 0.7500 1
Cu3 Cu 0.7536 0.2464 0.3750 1
O9 O 0.2677 0.5158 0.4848 1
Te4 Te 0.7744 0.5000 0.7500 1
O10 O 0.2636 0.0215 0.0018 1
O11 O 0.9785 0.7364 0.7482 1
O12 O 0.7364 0.0215 0.9982 1
O13 O 0.5158 0.2677 0.7652 1
O14 O 0.7364 0.9785 0.5018 1
Li4 Li 0.2096 0.0000 0.2500 1
O15 O 0.7323 0.5158 0.5152 1
O16 O 0.9785 0.2636 0.7518 1
Cu4 Cu 0.2464 0.7536 0.8750 1



4.
# Li4V3Cu3Te2O16, relaxed, DFT GGA-PBEsol
# E_form (uncorrected) ... -158.3 kJ/mol of atoms
data_Li4V3Cu3Te2O16
_space_group_name_H-M_alt 'P 1'
_space_group_IT_number 1
_cell_length_a 5.6946
_cell_length_b 6.0776
_cell_length_c 10.0243
_cell_angle_alpha 88.71
_cell_angle_beta 89.87
_cell_angle_gamma 62.88
loop_
_space_group_symop_operation_xyz
'x,y,z'
loop_
_atom_site_label
_atom_site_type_symbol
_atom_site_fract_x
_atom_site_fract_y
_atom_site_fract_z
_atom_site_occupancy
Li1 Li 0.3536 0.2886 0.5935 1
O1 O 0.9891 0.0391 0.1918 1
Cu1 Cu 0.3372 0.8356 0.7879 1
O2 O 0.9927 0.4639 0.6561 1
Li2 Li 0.9880 0.0273 0.0004 1
O3 O 0.3124 0.8541 0.3991 1
Cu2 Cu 0.8257 0.8355 0.7885 1
O4 O 0.6522 0.2017 0.9009 1
O5 O 0.9878 0.0251 0.7092 1
Te1 Te 0.6447 0.7028 0.4991 1
V1 V 0.1300 0.2067 0.2984 1
O6 O 0.1437 0.2063 0.8996 1
O7 O 0.5196 0.4596 0.1949 1
O8 O 0.5281 0.9384 0.6452 1
O9 O 0.0165 0.4754 0.1993 1
Li3 Li 0.6672 0.6667 0.1016 1
Li4 Li 0.0046 0.9855 0.5212 1
O10 O 0.3746 0.2595 0.3939 1
O11 O 0.5453 0.4559 0.6584 1
Cu3 Cu 0.1670 0.6774 0.2798 1
O12 O 0.5006 0.0356 0.1680 1
O13 O 0.6790 0.6376 0.8763 1
Te2 Te 0.3200 0.3635 0.9894 1
O14 O 0.1506 0.6987 0.9053 1
V2 V 0.8203 0.3588 0.7584 1
V3 V 0.6493 0.1658 0.2708 1
O15 O 0.8700 0.2768 0.4038 1
O16 O 0.8301 0.8581 0.4016 1



5.
# Li2TiCuO4, relaxed, DFT GGA-PBEsol
# E_form (uncorrected) ... -199.1 kJ/mol of atoms
data_Li2TiCuO4
_space_group_name_H-M_alt 'P 1'
_space_group_IT_number 1
_cell_length_a 3.9617
_cell_length_b 3.9617
_cell_length_c 5.2493
_cell_angle_alpha 112.17
_cell_angle_beta 112.17
_cell_angle_gamma 90.00
loop_
_space_group_symop_operation_xyz
'x,y,z'
loop_
_atom_site_label
_atom_site_type_symbol
_atom_site_fract_x
_atom_site_fract_y
_atom_site_fract_z
_atom_site_occupancy
Li1 Li 0.7500 0.2500 0.5000 1
O1 O 0.4727 0.9727 0.9455 1
Li2 Li 0.5000 0.5000 0.0000 1
O2 O 0.2553 0.2553 0.5105 1
O3 O 0.0273 0.5273 0.0545 1
Ti1 Ti 0.2500 0.7500 0.5000 1
Cu1 Cu 0.0000 0.0000 0.0000 1
O4 O 0.7447 0.7447 0.4895 1



6.
# Li2TiCuO4, relaxed, DFT GGA-PBEsol
# E_form (uncorrected) ... -198.9 kJ/mol of atoms
data_Li2TiCuO4
_space_group_name_H-M_alt 'P 1'
_space_group_IT_number 1
_cell_length_a 5.6477
_cell_length_b 6.0639
_cell_length_c 5.7228
_cell_angle_alpha 118.16
_cell_angle_beta 90.00
_cell_angle_gamma 117.75
loop_
_space_group_symop_operation_xyz
'x,y,z'
loop_
_atom_site_label
_atom_site_type_symbol
_atom_site_fract_x
_atom_site_fract_y
_atom_site_fract_z
_atom_site_occupancy
Ti1 Ti 0.0000 0.0000 0.0000 1
O1 O 0.7802 0.0333 0.2667 1
O2 O 0.7802 0.5604 0.2632 1
O3 O 0.2198 0.9667 0.7333 1
Ti2 Ti 0.0000 0.0000 0.5000 1
Li1 Li 0.5000 0.0000 0.5000 1
Li2 Li 0.0000 0.5000 0.5000 1
Cu1 Cu 0.0000 0.5000 0.0000 1
Li3 Li 0.5000 0.5000 0.5000 1
Cu2 Cu 0.5000 0.5000 0.0000 1
Li4 Li 0.5000 0.0000 0.0000 1
O4 O 0.2198 0.4396 0.7368 1
O5 O 0.7802 0.5604 0.7972 1
O6 O 0.2198 0.4396 0.2028 1
O7 O 0.2531 0.0333 0.2667 1
O8 O 0.7469 0.9667 0.7333 1



7.
# Li4Ti3Cu3W2O16, relaxed, DFT GGA-PBEsol
# E_form (uncorrected) ... -203.1 kJ/mol of atoms
data_Li4Ti3Cu3W2O16
_space_group_name_H-M_alt 'P 1'
_space_group_IT_number 1
_cell_length_a 5.8582
_cell_length_b 5.8970
_cell_length_c 9.8627
_cell_angle_alpha 92.19
_cell_angle_beta 90.00
_cell_angle_gamma 119.78
loop_
_space_group_symop_operation_xyz
'x,y,z'
loop_
_atom_site_label
_atom_site_type_symbol
_atom_site_fract_x
_atom_site_fract_y
_atom_site_fract_z
_atom_site_occupancy
O1 O 0.1646 0.3293 0.4379 1
Li1 Li 0.0092 0.0184 0.0251 1
O2 O 0.6777 0.3554 0.3835 1
O3 O 0.0352 0.5375 0.6528 1
O4 O 0.9987 0.9974 0.2157 1
Li2 Li 0.6657 0.3313 0.5842 1
Ti1 Ti 0.6575 0.8110 0.7810 1
O5 O 0.8211 0.1626 0.9102 1
W1 W 0.6551 0.3102 0.0144 1
Ti2 Ti 0.1535 0.8110 0.7810 1
O6 O 0.6398 0.7948 0.4148 1
O7 O 0.9734 0.5199 0.1327 1
O8 O 0.4790 0.9579 0.6618 1
O9 O 0.3483 0.6966 0.8904 1
Li3 Li 0.3403 0.6807 0.0879 1
W2 W 0.3301 0.6603 0.5100 1
O10 O 0.5262 0.0523 0.1360 1
O11 O 0.9973 0.9947 0.6991 1
Ti3 Ti 0.8226 0.6451 0.2658 1
Cu1 Cu 0.1717 0.3434 0.7951 1
O12 O 0.5465 0.5199 0.1327 1
O13 O 0.8323 0.6646 0.8909 1
O14 O 0.5023 0.5375 0.6528 1
Cu2 Cu 0.3389 0.1636 0.3009 1
Li4 Li 0.9924 0.9848 0.5096 1
O15 O 0.1550 0.7948 0.4148 1
O16 O 0.3415 0.1626 0.9102 1
Cu3 Cu 0.8247 0.1636 0.3009 1



Asked for electronic total energy across the records above, the calculation gives -5.55; -1.71; -5.52; -6.67; -6.76; -6.76; -7.73 eV per atom in order.